# 1
A relaxed structure of CaNiB3, computed with PBE-GGA.

Summary:
Formation energy from the elements: 3.0162 eV/atom
E above lowest polymorph: 2.432 eV per atom

Structure (CIF):
```
data_CaNiB3
_chemical_formula_sum 'Ca1 Ni1 B3'
_cell_length_a 4.516
_cell_length_b 4.516
_cell_length_c 4.516
_cell_angle_alpha 90.00
_cell_angle_beta 90.00
_cell_angle_gamma 90.00
_symmetry_space_group_name_H-M 'P m -3 m'
_symmetry_Int_Tables_number 221
_symmetry_space_group_name_Hall '-P 4 2 3'
loop_
_atom_site_label
_atom_site_type_symbol
_atom_site_fract_x
_atom_site_fract_y
_atom_site_fract_z
Ca1 Ca 0.000 0.000 0.000
Ni1 Ni 0.500 0.500 0.500
B1 B 0.000 0.000 0.500
```

=====

# 2
A relaxed structure of Pm2ZnRu3, computed with PBE-GGA.

Summary:
Formation energy from the elements: -0.2354 eV/atom

Structure (CIF):
```
data_Pm2ZnRu3
_chemical_formula_sum 'Pm4 Zn2 Ru6'
_cell_length_a 9.323
_cell_length_b 5.443
_cell_length_c 5.395
_cell_angle_alpha 90.00
_cell_angle_beta 124.92
_cell_angle_gamma 90.00
_symmetry_space_group_name_H-M 'C 1 2/m 1'
_symmetry_Int_Tables_number 12
loop_
_symmetry_equiv_pos_as_xyz
'x,y,z'
'-x,-y,-z'
'-x,y,-z'
'x,-y,z'
'x+1/2,y+1/2,z'
'-x+1/2,-y+1/2,-z'
'-x+1/2,y+1/2,-z'
'x+1/2,-y+1/2,z'
loop_
_atom_site_label
_atom_site_type_symbol
_atom_site_fract_x
_atom_site_fract_y
_atom_site_fract_z
Pm1 Pm 0.123 0.000 0.377
Zn1 Zn 0.000 0.500 0.000
Ru1 Ru 0.000 0.500 0.500
Ru2 Ru 0.250 0.250 0.000
```

=====

# 3
A relaxed structure of Ce2MgMn, computed with PBE-GGA.

Summary:
Formation energy from the elements: 0.4121 eV/atom
E above lowest polymorph: 0.390 eV per atom

Structure (CIF):
```
data_Ce2MgMn
_chemical_formula_sum 'Ce6 Mg3 Mn3'
_cell_length_a 3.6521
_cell_length_b 3.6521
_cell_length_c 29.6046
_cell_angle_alpha 90.00
_cell_angle_beta 90.00
_cell_angle_gamma 120.00
_symmetry_space_group_name_H-M 'R -3 m'
_symmetry_Int_Tables_number 166
_symmetry_space_group_name_Hall '-R 3 2"'
loop_
_atom_site_label
_atom_site_type_symbol
_atom_site_fract_x
_atom_site_fract_y
_atom_site_fract_z
Ce1 Ce 0.0000 0.0000 0.1158
Mg1 Mg 0.0000 0.0000 0.0000
Mn1 Mn 0.0000 0.0000 0.5000
```

=====

# 4
A relaxed structure of CePu3Rh4, computed with PBE-GGA.

Summary:
Formation energy from the elements: -0.4555 eV/atom
E above lowest polymorph: 0.000 eV per atom

Structure (CIF):
```
data_CePu3Rh4
_chemical_formula_sum 'Ce2 Pu6 Rh8'
_cell_length_a 4.847
_cell_length_b 4.847
_cell_length_c 13.895
_cell_angle_alpha 90.00
_cell_angle_beta 90.00
_cell_angle_gamma 90.00
_symmetry_space_group_name_H-M 'I 4/m m m'
_symmetry_Int_Tables_number 139
_symmetry_space_group_name_Hall '-I 4 2'
loop_
_atom_site_label
_atom_site_type_symbol
_atom_site_fract_x
_atom_site_fract_y
_atom_site_fract_z
Ce1 Ce 0.000 0.000 0.000
Pu1 Pu 0.000 0.000 0.250
Pu2 Pu 0.000 0.000 0.500
Rh1 Rh 0.000 0.500 0.123
```